Material: K2CuRh
Method: DFT, GGA-PBE
State: optimized geometry

Cell lengths 5.928, 5.928, 3.037 Å; angles 89.82, 89.82, 118.26 degrees
Each line ends with the local moment (μB).
Element x y z (fractional)
K (0.500, 0.500, 0.000)  0.00
K (0.000, 0.000, 0.000)  0.00
Rh (0.500, 0.000, 0.500)  0.52
Cu (0.000, 0.500, 0.500)  0.00

Properties
* energy of formation from the pure elements: 0.748 eV per atom
* density of states at the Fermi level: 0.612 states/eV/atom
* space group: C2/m
* DFT total energy: -2.663 eV per atom

***

Material: Ti3GaTe4
Method: DFT, GGA-PBE
State: optimized geometry

Cell lengths 5.886, 9.576, 8.004 Å; angles 90.00, 90.00, 90.00 degrees
Element x y z (fractional)
Te (0.579, 0.221, 0.500)
Te (0.098, 0.368, 0.236)
Te (0.598, 0.632, 0.736)
Te (0.614, 0.108, 0.000)
Te (0.079, 0.779, 0.000)
Te (0.098, 0.368, 0.764)
Te (0.598, 0.632, 0.264)
Te (0.114, 0.892, 0.500)
Ga (0.115, 0.103, 0.000)
Ga (0.615, 0.897, 0.500)
Ti (0.591, 0.342, 0.805)
Ti (0.091, 0.658, 0.305)
Ti (0.591, 0.342, 0.195)
Ti (0.091, 0.658, 0.695)
Ti (0.331, 0.530, 0.000)
Ti (0.831, 0.470, 0.500)

Properties
* uncorrected formation energy: -0.407 eV/atom
* density of states at the Fermi level: 0.657 states/eV/atom
* space group: Pmn2_1
* DFT total energy: -5.316 eV per atom